## K3TbCr2O8 (GGA+U)

Data for a relaxed K3TbCr2O8 crystal.

Values from the calculation:
The total energy comes out at -89.95 eV per formula unit.

```
data_K3TbCr2O8
_chemical_formula_sum 'K3 Tb1 Cr2 O8'
_cell_length_a 5.984
_cell_length_b 5.984
_cell_length_c 7.674
_cell_angle_alpha 90.00
_cell_angle_beta 90.00
_cell_angle_gamma 120.00
_symmetry_space_group_name_H-M 'P 1'
_symmetry_Int_Tables_number 1
loop_
_symmetry_equiv_pos_as_xyz
'x,y,z'
loop_
_atom_site_label
_atom_site_fract_x
_atom_site_fract_y
_atom_site_fract_z
O1 0.333 0.667 0.024
O2 0.824 0.176 0.675
O3 0.176 0.824 0.325
Cr1 0.333 0.667 0.241
K1 0.333 0.667 0.685
O4 0.824 0.648 0.675
Tb1 0.000 0.000 0.500
O5 0.352 0.176 0.675
K2 0.000 0.000 0.000
Cr2 0.667 0.333 0.759
O6 0.667 0.333 0.976
O7 0.176 0.352 0.325
O8 0.648 0.824 0.325
K3 0.667 0.333 0.315
```